# 1
## HgSbHI2 (PBE-GGA)

Data for a relaxed HgSbHI2 crystal.

The value obtained for the volume is 134.42 Å³ per cell. The energy relative to the lowest polymorph listed for this composition comes out at 0.0 kJ per mole of atoms. Its total moment is 0.000 μB/f.u.

abc: 5.832 5.832 3.952
angles: 90.00 90.00 90.00
Sites, in units of the cell vectors:
Hg (0.000, 0.000, 0.000)
Sb (0.500, 0.500, 0.000)
H (0.500, 0.500, 0.500)
I (0.000, 0.500, 0.500)
I (0.500, 0.000, 0.500)

# 2
## Cs2K5RbHg (PBE-GGA)

Data for a relaxed Cs2K5RbHg crystal.

The value obtained for the volume is 677.68 Å³ per cell. As for the energy of formation: -0.042 eV/atom. Its total moment is 0.000 μB/f.u.

abc: 9.869 9.869 9.869
angles: 120.19 120.19 89.68
Sites, in units of the cell vectors:
Cs (0.000, 0.500, 0.500)
Cs (0.500, 0.000, 0.500)
K (0.001, 0.001, 0.506)
K (0.001, 0.495, 0.000)
K (0.485, 0.485, 0.000)
K (0.495, 0.001, 0.000)
K (0.495, 0.495, 0.494)
Rb (0.998, 0.998, 0.000)
Hg (0.735, 0.735, 0.000)

# 3
## ZrScAu4 (PBE-GGA)

Data for a relaxed ZrScAu4 crystal.

The value obtained for the volume is 119.19 Å³ per cell. As for the energy of formation: -0.248 eV/atom. The energy relative to the lowest polymorph listed for this composition comes out at 43.8 kJ per mole of atoms. Its total moment is 1.746 μB/f.u.

abc: 5.524 5.524 5.524
angles: 60.00 60.00 60.00
Sites, in units of the cell vectors:
Zr (0.000, 0.000, 0.000)
Sc (0.250, 0.250, 0.250)
Au (0.125, 0.625, 0.625)
Au (0.625, 0.125, 0.625)
Au (0.625, 0.625, 0.125)
Au (0.625, 0.625, 0.625)

# 4
## Bi2BIBr (PBE-GGA)

Data for a relaxed Bi2BIBr crystal.

The value obtained for the volume is 213.00 Å³ per cell. Its total moment is 1.661 μB/f.u. Its energy is -1.86 eV/atom.

abc: 6.052 6.052 5.815
angles: 90.00 90.00 90.00
Sites, in units of the cell vectors:
Bi (0.000, 0.500, 0.000)
Bi (0.500, 0.000, 0.000)
B (0.000, 0.000, 0.500)
I (0.500, 0.500, 0.000)
Br (0.500, 0.500, 0.500)

# 5
## Na2Sr8Ac (PBE-GGA)

Data for a relaxed Na2Sr8Ac crystal.

The value obtained for the volume is 554.52 Å³ per cell. As for the energy of formation: 0.045 eV/atom. Its total moment is 0.000 μB/f.u.

abc: 10.203 10.203 10.043
angles: 117.42 117.42 37.37
Sites, in units of the cell vectors:
Na (0.227, 0.227, 0.149)
Na (0.773, 0.773, 0.851)
Sr (0.049, 0.049, 0.237)
Sr (0.142, 0.142, 0.697)
Sr (0.319, 0.319, 0.576)
Sr (0.402, 0.402, 0.044)
Sr (0.598, 0.598, 0.956)
Sr (0.681, 0.681, 0.424)
Sr (0.858, 0.858, 0.303)
Sr (0.951, 0.951, 0.763)
Ac (0.500, 0.500, 0.500)

# 6
## PrInH (PBE-GGA)

Data for a relaxed PrInH crystal.

The value obtained for the volume is 255.60 Å³ per cell. The energy relative to the lowest polymorph listed for this composition comes out at 0.0 kJ per mole of atoms. Its total moment is 0.000 μB/f.u.

abc: 5.479 5.480 8.513
angles: 90.00 90.23 90.00
Sites, in units of the cell vectors:
Pr (0.249, 0.000, 0.335)
Pr (0.251, 0.500, 0.665)
Pr (0.749, 0.500, 0.335)
Pr (0.751, 0.000, 0.665)
In (0.249, 0.500, 0.083)
In (0.251, 0.000, 0.917)
In (0.749, 0.000, 0.083)
In (0.751, 0.500, 0.917)
H (0.000, 0.250, 0.500)
H (0.000, 0.750, 0.500)
H (0.500, 0.250, 0.500)
H (0.500, 0.750, 0.500)